Entry 1:
{
  "formula": "FeSi2Hg",
  "functional": "GGA-PBE",
  "state": "relaxed",
  "dos_ef_per_ev_cell": 2.9,
  "mass_density_kg_m3": 8155,
  "crystal_system": "tetragonal",
  "total_energy_ev_per_atom": -4.301,
  "cell": [[4.166, 0.000, 0.000], [0.000, 4.166, 0.000], [0.000, 0.000, 3.668]],
  "species": ["Fe", "Si", "Si", "Hg"],
  "fractional_positions": [[0.000, 0.000, 0.000], [0.000, 0.500, 0.500], [0.500, 0.000, 0.500], [0.500, 0.500, 0.000]]
}

Entry 2:
{
  "formula": "FeSi2Hg",
  "functional": "GGA-PBE",
  "state": "relaxed",
  "dos_ef_per_ev_cell": 4.2,
  "mass_density_kg_m3": 7940,
  "crystal_system": "orthorhombic",
  "total_energy_ev_per_atom": -4.280,
  "cell": [[5.823, 0.000, 0.000], [0.000, 7.812, 0.000], [0.000, 0.000, 2.874]],
  "species": ["Fe", "Fe", "Si", "Si", "Si", "Si", "Hg", "Hg"],
  "fractional_positions": [[0.000, 0.000, 0.000], [0.500, 0.500, 0.000], [0.250, 0.250, 0.500], [0.250, 0.750, 0.500], [0.750, 0.250, 0.500], [0.750, 0.750, 0.500], [0.000, 0.500, 0.000], [0.500, 0.000, 0.000]]
}

Entry 3:
{
  "formula": "Fe2SiHg2",
  "functional": "GGA-PBE",
  "state": "relaxed",
  "dos_ef_per_ev_cell": 6.9,
  "mass_density_kg_m3": 9736,
  "crystal_system": "tetragonal",
  "total_energy_ev_per_atom": -3.965,
  "cell": [[3.326, 0.000, 0.000], [0.000, 3.326, 0.000], [0.000, 0.000, 16.681]],
  "species": ["Fe", "Fe", "Fe", "Fe", "Si", "Si", "Hg", "Hg", "Hg", "Hg"],
  "fractional_positions": [[0.000, 0.500, 0.250], [0.000, 0.500, 0.750], [0.500, 0.000, 0.250], [0.500, 0.000, 0.750], [0.000, 0.000, 0.000], [0.500, 0.500, 0.500], [0.000, 0.000, 0.387], [0.000, 0.000, 0.613], [0.500, 0.500, 0.113], [0.500, 0.500, 0.887]]
}